1.
First-principles (GGA-PBEsol) data for Li2AgMoS after structural relaxation, as listed in the Alexandria database.

Cell and atoms, written as POSCAR:
```
Li2AgMoS
1.0
-1.2512 -1.7863 -3.8019
4.2145 -2.7421 -0.0987
-2.3383 -3.6839 2.5004
Mo Ag S Li
1 1 1 2
direct
0.0000 0.0000 0.0000
0.5000 0.5000 0.5000
0.5000 0.0000 0.0000
0.0000 0.5000 0.0000
0.0000 0.0000 0.5000
```

Calculated values
energy relative to the elements, uncorrected = 701 meV per atom
uncorrected energy = -19.89 eV/cell
symmetry = No. 123



2.
First-principles (GGA-PBEsol) data for LiAgN2 after structural relaxation, as listed in the Alexandria database.

Cell and atoms, written as POSCAR:
```
LiAgN2
1.0
4.5059 0.0000 0.0000
0.0000 4.5059 0.0000
-2.2529 -2.2529 4.9726
N Li Ag
4 2 2
direct
0.8869 0.3750 0.2500
0.1250 0.1131 0.7500
0.3631 0.8750 0.2500
0.6250 0.6369 0.7500
0.5000 0.5000 0.0000
0.7500 0.2500 0.5000
0.0000 0.0000 0.0000
0.2500 0.7500 0.5000
```

Calculated values
energy relative to the elements, uncorrected = 1258 meV per atom
uncorrected energy = -34.60 eV/cell
symmetry = No. 122



3.
First-principles (GGA-PBEsol) data for LiAgSeN2 after structural relaxation, as listed in the Alexandria database.

Cell and atoms, written as POSCAR:
```
LiAgSeN2
1.0
-1.1412 -2.9024 -2.0175
-0.2604 -2.0453 3.0897
-4.6464 1.4376 0.5601
Li N Ag Se
1 2 1 1
direct
0.0000 0.0000 0.0000
0.5000 0.0000 0.0000
0.0000 0.5000 0.0000
0.5000 0.5000 0.5000
0.0000 0.0000 0.5000
```

Calculated values
energy relative to the elements, uncorrected = 1573 meV per atom
uncorrected energy = -18.32 eV/cell
symmetry = No. 123



4.
First-principles (GGA-PBEsol) data for LiSiAg2N after structural relaxation, as listed in the Alexandria database.

Cell and atoms, written as POSCAR:
```
LiSiAg2N
1.0
4.2824 0.0000 0.0000
0.0000 4.2451 0.0000
0.0000 0.0000 4.2451
Ag Li N Si
2 1 1 1
direct
0.0000 0.0000 0.5000
0.0000 0.5000 0.0000
0.0000 0.0000 0.0000
0.5000 0.5000 0.5000
0.5000 0.0000 0.0000
```

Calculated values
energy relative to the elements, uncorrected = 1524 meV per atom
uncorrected energy = -15.24 eV/cell
symmetry = No. 123



5.
First-principles (GGA-PBEsol) data for NaLiAg3 after structural relaxation, as listed in the Alexandria database.

Cell and atoms, written as POSCAR:
```
NaLiAg3
1.0
-0.4670 4.5772 0.3751
-4.4611 -0.3626 -1.1299
-1.0909 -0.4769 4.4600
Li Ag Na
1 3 1
direct
0.0000 0.0000 0.0000
0.5000 0.0000 0.0000
0.0000 0.0000 0.5000
0.0000 0.5000 0.0000
0.5000 0.5000 0.5000
```

Calculated values
uncorrected energy = -11.88 eV/cell
symmetry = No. 221



6.
First-principles (GGA-PBEsol) data for NaLi3Ag after structural relaxation, as listed in the Alexandria database.

Cell and atoms, written as POSCAR:
```
NaLi3Ag
1.0
5.0107 0.0000 0.0000
0.0000 5.0107 0.0000
0.0000 0.0000 5.0107
Li Ag Na
3 1 1
direct
0.0000 0.5000 0.0000
0.0000 0.0000 0.5000
0.5000 0.0000 0.0000
0.0000 0.0000 0.0000
0.5000 0.5000 0.5000
```

Calculated values
uncorrected energy = -10.27 eV/cell
symmetry = No. 221



7.
First-principles (GGA-PBEsol) data for LiNb3Ag after structural relaxation, as listed in the Alexandria database.

Cell and atoms, written as POSCAR:
```
LiNb3Ag
1.0
-0.9116 4.5532 -1.6430
-2.4212 -1.8767 -3.8572
-4.1915 0.0938 2.5855
Li Nb Ag
1 3 1
direct
0.5000 0.5000 0.5000
0.0000 0.0000 0.5000
0.0000 0.5000 0.0000
0.5000 0.0000 0.0000
0.0000 0.0000 0.0000
```

Calculated values
uncorrected energy = -28.24 eV/cell
symmetry = No. 221



8.
First-principles (GGA-PBEsol) data for LiNbAg2Pt after structural relaxation, as listed in the Alexandria database.

Cell and atoms, written as POSCAR:
```
LiNbAg2Pt
1.0
4.7401 0.0000 0.0000
0.0000 5.0966 0.0000
0.0000 0.0000 5.0966
Ag Li Nb Pt
2 1 1 1
direct
0.0000 0.5000 0.0000
0.0000 0.0000 0.5000
0.5000 0.5000 0.5000
0.5000 0.0000 0.0000
0.0000 0.0000 0.0000
```

Calculated values
uncorrected energy = -22.44 eV/cell
symmetry = No. 123



9.
First-principles (GGA-PBEsol) data for LiNi2Ag after structural relaxation, as listed in the Alexandria database.

Cell and atoms, written as POSCAR:
```
LiNi2Ag
1.0
-1.0395 2.1873 1.2062
-1.5083 -2.4853 3.2067
4.9125 0.6992 -0.0686
Ag Ni Li
1 2 1
direct
0.4958 0.4958 0.9917
0.7343 0.2344 0.4687
0.0103 0.0103 0.0205
0.2596 0.7596 0.5191
```

Calculated values
uncorrected energy = -16.99 eV/cell
symmetry = No. 44



10.
First-principles (GGA-PBEsol) data for LiNiAg2 after structural relaxation, as listed in the Alexandria database.

Cell and atoms, written as POSCAR:
```
LiNiAg2
1.0
-1.6704 3.3615 -0.1931
-0.1935 0.1193 3.7517
4.4800 0.0300 -1.6526
Ag Ni Li
2 1 1
direct
0.0000 0.0000 0.0000
0.7500 0.2500 0.5000
0.2500 0.7500 0.5000
0.5000 0.5000 0.0000
```

Calculated values
uncorrected energy = -14.59 eV/cell
symmetry = No. 119



11.
First-principles (GGA-PBEsol) data for LiAg2O after structural relaxation, as listed in the Alexandria database.

Cell and atoms, written as POSCAR:
```
LiAg2O
1.0
-2.6990 1.9822 -3.8232
-3.4370 -3.7100 0.5029
-0.2586 4.5212 5.9048
Ag O Li
4 2 2
direct
0.2161 0.8750 0.2500
0.0339 0.3750 0.2500
0.1250 0.9661 0.7500
0.6250 0.7839 0.7500
0.0000 0.0000 0.0000
0.2500 0.7500 0.5000
0.5000 0.5000 0.0000
0.7500 0.2500 0.5000
```

Calculated values
energy relative to the elements, uncorrected = 100 meV per atom
uncorrected energy = -26.88 eV/cell
symmetry = No. 122



12.
First-principles (GGA-PBEsol) data for Li3AgO after structural relaxation, as listed in the Alexandria database.

Cell and atoms, written as POSCAR:
```
Li3AgO
1.0
-0.5054 3.9009 -0.0504
-2.7927 -0.3973 -2.7419
-2.7241 -0.3165 2.8203
Li O Ag
3 1 1
direct
0.0000 0.5000 0.0000
0.0000 0.0000 0.5000
0.5000 0.0000 0.0000
0.0000 0.0000 0.0000
0.5000 0.5000 0.5000
```

Calculated values
energy relative to the elements, uncorrected = -990 meV per atom
uncorrected energy = -19.41 eV/cell
symmetry = No. 221